KYPb2: relaxed, PBE-GGA.

Computed properties:
polymorph energy (0 for the lowest one): 218.2 meV per atom
ρ: 7108 kg/m³
E_form: -0.146 eV per atom
total magnetization: 0.000 Bohr magnetons per cell
volume: 507 Å³ per cell

Cell lengths 7.9730, 7.9730, 7.9730 Å; angles 90.00, 90.00, 90.00 degrees
Positions (direct):
K1 0.0000 0.0000 0.0000
K2 0.0000 0.5000 0.5000
K3 0.5000 0.0000 0.5000
K4 0.5000 0.5000 0.0000
Y1 0.0000 0.0000 0.5000
Y2 0.0000 0.5000 0.0000
Y3 0.5000 0.0000 0.0000
Y4 0.5000 0.5000 0.5000
Pb1 0.2500 0.2500 0.2500
Pb2 0.2500 0.2500 0.7500
Pb3 0.2500 0.7500 0.2500
Pb4 0.2500 0.7500 0.7500
Pb5 0.7500 0.2500 0.2500
Pb6 0.7500 0.2500 0.7500
Pb7 0.7500 0.7500 0.2500
Pb8 0.7500 0.7500 0.7500